1.
KRe2Ni | PBE | optimized geometry

magnetization = 0.00 μB per formula unit
density = 7.99 g cm⁻³
energy of formation from the pure elements = 1.657 eV per atom
E_tot = -25.1 eV per formula unit
distance to the lowest polymorph of the same formula = 3.85 eV per formula unit

Lattice parameters (Å, degrees): 4.753 4.753 17.302 90.00 90.00 90.00
Space group I-42d (No. 122)
One atom of each set of equivalent atoms:
K: 0.000 0.000 0.000 (multiplicity 4)
Re: 0.035 0.750 0.625 (multiplicity 8)
Ni: 0.000 0.000 0.500 (multiplicity 4)

=====

2.
NpCuP2 | PBE | optimized geometry

magnetization = 1.97 μB per formula unit
density = 5.87 g cm⁻³
energy of formation from the pure elements = -0.033 eV per atom
E_tot = -28.0 eV per formula unit

Lattice parameters (Å, degrees): 4.1714 4.1714 20.4048 90.00 90.00 120.00
Space group R-3m (No. 166, hexagonal axes)
One atom of each set of equivalent atoms:
Np: 0.0000 0.0000 0.0000 (multiplicity 3)
Cu: 0.0000 0.0000 0.5000 (multiplicity 3)
P: 0.0000 0.0000 0.3934 (multiplicity 6)